Run A
## KCuP3 (PBE)

Data for a relaxed KCuP3 crystal.

abc: 5.2543 5.2543 5.2543
angles: 90.00 90.00 90.00
Last column: nearest neighbours and their distance in Å.
Space group Pm-3m (No. 221)
Inequivalent atoms, fractional coordinates:
1 K 0.0000 0.0000 0.0000 (multiplicity 1)  6 P 2.63
2 Cu 0.5000 0.5000 0.5000 (multiplicity 1)  12 P 3.72
3 P 0.0000 0.0000 0.5000 (multiplicity 3)  2 K 2.63

Output
Density of states at the Fermi level   1.952 states/eV/atom
Calculated density   2.2 g cm⁻³

Run B
## KCuP3 (PBE)

Data for a relaxed KCuP3 crystal.

abc: 4.6972 4.6972 4.6972
angles: 90.00 90.00 90.00
Last column: nearest neighbours and their distance in Å.
Space group Pm-3m (No. 221)
Inequivalent atoms, fractional coordinates:
1 K 0.0000 0.0000 0.0000 (multiplicity 1)  12 P 3.32
2 Cu 0.5000 0.5000 0.5000 (multiplicity 1)  6 P 2.35
3 P 0.0000 0.5000 0.5000 (multiplicity 3)  2 Cu 2.35

Output
Density of states at the Fermi level   0.638 states/eV/atom
Calculated density   3.1 g cm⁻³

Computed relative energies in units of meV/atom: run A 1733; run B 0

Run A
## KCuPb3 (PBE)

Data for a relaxed KCuPb3 crystal.

abc: 5.4446 5.4446 5.4446
angles: 90.00 90.00 90.00
Last column: nearest neighbours and their distance in Å.
Space group Pm-3m (No. 221)
Inequivalent atoms, fractional coordinates:
1 K 0.0000 0.0000 0.0000 (multiplicity 1)  12 Pb 3.85
2 Cu 0.5000 0.5000 0.5000 (multiplicity 1)  6 Pb 2.72
3 Pb 0.0000 0.5000 0.5000 (multiplicity 3)  2 Cu 2.72

Output
Density of states at the Fermi level   0.797 states/eV/atom
Calculated density   7.5 g cm⁻³

Run B
## KCuPb3 (PBE)

Data for a relaxed KCuPb3 crystal.

abc: 6.0278 6.0278 6.0278
angles: 90.00 90.00 90.00
Last column: nearest neighbours and their distance in Å.
Space group Pm-3m (No. 221)
Inequivalent atoms, fractional coordinates:
1 K 0.0000 0.0000 0.0000 (multiplicity 1)  6 Pb 3.01
2 Cu 0.5000 0.5000 0.5000 (multiplicity 1)  12 Pb 4.26
3 Pb 0.0000 0.0000 0.5000 (multiplicity 3)  2 K 3.01

Output
Density of states at the Fermi level   0.316 states/eV/atom
Calculated density   5.5 g cm⁻³

Computed relative energies in units of meV/atom: run A 0; run B 1200

Run A
## KCu3Pb (PBE)

Data for a relaxed KCu3Pb crystal.

abc: 5.1224 5.1224 5.1224
angles: 90.00 90.00 90.00
Last column: nearest neighbours and their distance in Å.
Space group Pm-3m (No. 221)
Inequivalent atoms, fractional coordinates:
1 K 0.0000 0.0000 0.0000 (multiplicity 1)  12 Cu 3.62
2 Cu 0.0000 0.5000 0.5000 (multiplicity 3)  2 Pb 2.56
3 Pb 0.5000 0.5000 0.5000 (multiplicity 1)  6 Cu 2.56

Output
Density of states at the Fermi level   0.041 states/eV/atom
Calculated density   5.4 g cm⁻³

Run B
## KCu3Pb (PBE)

Data for a relaxed KCu3Pb crystal.

abc: 5.1683 5.1683 5.1683
angles: 90.00 90.00 90.00
Last column: nearest neighbours and their distance in Å.
Space group Pm-3m (No. 221)
Inequivalent atoms, fractional coordinates:
1 K 0.0000 0.0000 0.0000 (multiplicity 1)  6 Cu 2.58
2 Cu 0.0000 0.0000 0.5000 (multiplicity 3)  2 K 2.58
3 Pb 0.5000 0.5000 0.5000 (multiplicity 1)  12 Cu 3.65

Output
Density of states at the Fermi level   0.482 states/eV/atom
Calculated density   5.3 g cm⁻³

Computed relative energies in units of meV/atom: run A 0; run B 915

Run A
## KCu2Pb2 (PBE)

Data for a relaxed KCu2Pb2 crystal.

abc: 8.7282 8.7282 3.2118
angles: 90.00 90.00 90.00
Last column: nearest neighbours and their distance in Å.
Space group P4/mbm (No. 127)
Inequivalent atoms, fractional coordinates:
1 K 0.0000 0.0000 0.0000 (multiplicity 2)  2 K 3.21, 4 Pb 3.36
2 Cu 0.1433 0.3567 0.5000 (multiplicity 4)  6 Pb 2.97-3.09, 2 Cu 3.21
3 Pb 0.1423 0.6423 0.0000 (multiplicity 4)  6 Cu 2.97-3.09, 2 Pb 3.21

Output
Density of states at the Fermi level   0.405 states/eV/atom
Calculated density   7.9 g cm⁻³

Run B
## KCu2Pb2 (PBE)

Data for a relaxed KCu2Pb2 crystal.

abc: 8.5965 8.5965 3.3036
angles: 90.00 90.00 90.00
Last column: nearest neighbours and their distance in Å.
Space group P4/mbm (No. 127)
Inequivalent atoms, fractional coordinates:
1 K 0.0000 0.0000 0.0000 (multiplicity 2)  2 K 3.30, 4 Cu 3.43, 8 Pb 3.64
2 Cu 0.1196 0.3804 0.0000 (multiplicity 4)  1 Cu 2.91, 6 Pb 2.92-3.17
3 Pb 0.1578 0.6578 0.5000 (multiplicity 4)  6 Cu 2.92-3.17

Output
Density of states at the Fermi level   0.286 states/eV/atom
Calculated density   7.9 g cm⁻³

Run C
## KCu2Pb2 (PBE)

Data for a relaxed KCu2Pb2 crystal.

abc: 4.8716 4.8716 10.9734
angles: 90.00 90.00 90.00
Last column: nearest neighbours and their distance in Å.
Space group I4/mmm (No. 139)
Inequivalent atoms, fractional coordinates:
1 K 0.0000 0.0000 0.0000 (multiplicity 2)  8 Pb 3.67, 8 Cu 3.67
2 Cu 0.0000 0.0000 0.3844 (multiplicity 4)  1 Cu 2.54
3 Pb 0.0000 0.5000 0.2500 (multiplicity 4)  4 Cu 2.85

Output
Density of states at the Fermi level   0.590 states/eV/atom
Calculated density   7.4 g cm⁻³

Computed relative energies in units of meV/atom: run A 72; run B 39; run C 0

Run A
## KCuPd2 (PBE)

Data for a relaxed KCuPd2 crystal.

abc: 5.0026 5.0026 17.0404
angles: 90.00 90.00 90.00
Last column: nearest neighbours and their distance in Å.
Space group I-42d (No. 122)
Inequivalent atoms, fractional coordinates:
1 K 0.0000 0.0000 0.0000 (multiplicity 4)  4 Pd 3.29, 4 Cu 3.54
2 Cu 0.0000 0.0000 0.5000 (multiplicity 4)  4 Pd 2.49
3 Pd 0.0659 0.2500 0.6250 (multiplicity 8)  2 Cu 2.49, 2 Pd 2.59

Output
Density of states at the Fermi level   0.821 states/eV/atom
Calculated density   4.9 g cm⁻³

Run B
## KCuPd2 (PBE)

Data for a relaxed KCuPd2 crystal.

abc: 6.6278 6.6278 6.6278
angles: 90.00 90.00 90.00
Last column: nearest neighbours and their distance in Å.
Space group Fm-3m (No. 225)
Inequivalent atoms, fractional coordinates:
1 K 0.0000 0.0000 0.0000 (multiplicity 4)  8 Pd 2.87
2 Cu 0.0000 0.0000 0.5000 (multiplicity 4)  8 Pd 2.87
3 Pd 0.2500 0.2500 0.2500 (multiplicity 8)  4 K 2.87, 4 Cu 2.87

Output
Density of states at the Fermi level   0.326 states/eV/atom
Calculated density   7.2 g cm⁻³

Computed relative energies in units of meV/atom: run A 0; run B 33

Run A
## K2Cu2Pd (PBE)

Data for a relaxed K2Cu2Pd crystal.

abc: 6.6735 6.6735 5.2445
angles: 90.00 90.00 90.00
Last column: nearest neighbours and their distance in Å.
Space group P4/mbm (No. 127)
Inequivalent atoms, fractional coordinates:
1 K 0.1843 0.3157 0.0000 (multiplicity 4)  6 Cu 3.15-3.38, 5 K 3.45-3.48
2 Cu 0.1316 0.6316 0.5000 (multiplicity 4)  1 Cu 2.48, 2 Pd 2.61
3 Pd 0.0000 0.0000 0.5000 (multiplicity 2)  4 Cu 2.61

Output
Density of states at the Fermi level   0.399 states/eV/atom
Calculated density   4.4 g cm⁻³

Run B
## K2Cu2Pd (PBE)

Data for a relaxed K2Cu2Pd crystal.

abc: 9.4808 9.4808 2.8385
angles: 90.00 90.00 90.00
Last column: nearest neighbours and their distance in Å.
Space group P4/mbm (No. 127)
Inequivalent atoms, fractional coordinates:
1 K 0.2004 0.2996 0.0000 (multiplicity 4)  2 K 2.84, 2 Cu 3.17
2 Cu 0.0882 0.5882 0.5000 (multiplicity 4)  1 Cu 2.37
3 Pd 0.0000 0.0000 0.0000 (multiplicity 2)  2 Pd 2.84

Output
Density of states at the Fermi level   0.793 states/eV/atom
Calculated density   4.1 g cm⁻³

Run C
## K2Cu2Pd (PBE)

Data for a relaxed K2Cu2Pd crystal.

abc: 3.4160 3.4160 20.7752
angles: 90.00 90.00 90.00
Last column: nearest neighbours and their distance in Å.
Space group I4/mmm (No. 139)
Inequivalent atoms, fractional coordinates:
1 K 0.0000 0.0000 0.1073 (multiplicity 4)  4 Pd 3.29, 4 K 3.42, 4 Cu 3.42
2 Cu 0.0000 0.5000 0.2500 (multiplicity 4)  4 Cu 2.42
3 Pd 0.0000 0.0000 0.5000 (multiplicity 2)  8 K 3.29, 4 Pd 3.42

Output
Density of states at the Fermi level   0.299 states/eV/atom
Calculated density   4.3 g cm⁻³

Computed relative energies in units of meV/atom: run A 0; run B 377; run C 37

Run A
## KCuPd (PBE)

Data for a relaxed KCuPd crystal.

abc: 4.9137 4.9137 2.9513
angles: 90.00 90.00 120.00
Last column: nearest neighbours and their distance in Å.
Space group P-6m2 (No. 187)
Inequivalent atoms, fractional coordinates:
1 K 0.0000 0.0000 0.0000 (multiplicity 1)  2 K 2.95, 6 Pd 3.20, 6 Cu 3.20
2 Cu 0.6667 0.3333 0.5000 (multiplicity 1)  3 Pd 2.84, 2 Cu 2.95
3 Pd 0.3333 0.6667 0.5000 (multiplicity 1)  3 Cu 2.84, 2 Pd 2.95

Output
Density of states at the Fermi level   0.311 states/eV/atom
Calculated density   5.6 g cm⁻³

Run B
## KCuPd (PBE)

Data for a relaxed KCuPd crystal.

abc: 8.3515 3.9295 10.7455
angles: 90.00 100.39 90.00
Last column: nearest neighbours and their distance in Å.
Space group C2/m (No. 12)
Inequivalent atoms, fractional coordinates:
1 K 0.1907 0.0000 0.2051 (multiplicity 4)  3 Cu 3.23-3.27, 2 Pd 3.39
2 Cu 0.0741 0.0000 0.6045 (multiplicity 4)  1 Cu 2.36, 3 Pd 2.58-2.64
3 Pd 0.1383 0.5000 0.4518 (multiplicity 4)  5 Cu 2.58-2.67, 3 Pd 2.70-2.78

Output
Density of states at the Fermi level   0.634 states/eV/atom
Calculated density   4.0 g cm⁻³

Computed relative energies in units of meV/atom: run A 297; run B 0

Run A
## K2CuPd (PBE)

Data for a relaxed K2CuPd crystal.

abc: 11.9634 11.9634 4.9106
angles: 90.00 90.00 90.00
Last column: nearest neighbours and their distance in Å.
Space group I-42d (No. 122)
Inequivalent atoms, fractional coordinates:
1 K 0.0487 0.2500 0.1250 (multiplicity 8)  2 Pd 3.11
2 Cu 0.0000 0.0000 0.5000 (multiplicity 4)  2 Pd 2.46
3 Pd 0.0000 0.0000 0.0000 (multiplicity 4)  2 Cu 2.46

Output
Density of states at the Fermi level   0.545 states/eV/atom
Calculated density   2.3 g cm⁻³

Run B
## K2CuPd (PBE)

Data for a relaxed K2CuPd crystal.

abc: 7.7779 7.7779 7.7779
angles: 90.00 90.00 90.00
Last column: nearest neighbours and their distance in Å.
Space group Fm-3m (No. 225)
Inequivalent atoms, fractional coordinates:
1 K 0.2500 0.2500 0.2500 (multiplicity 8)  4 Cu 3.37, 4 Pd 3.37
2 Cu 0.0000 0.0000 0.0000 (multiplicity 4)  8 K 3.37
3 Pd 0.0000 0.0000 0.5000 (multiplicity 4)  8 K 3.37

Output
Density of states at the Fermi level   0.686 states/eV/atom
Calculated density   3.5 g cm⁻³

Computed relative energies in units of meV/atom: run A 0; run B 203

Run A
## KCuPt (PBE)

Data for a relaxed KCuPt crystal.

abc: 2.8404 4.1486 11.3157
angles: 90.00 90.00 90.00
Last column: nearest neighbours and their distance in Å.
Space group Imm2 (No. 44)
Inequivalent atoms, fractional coordinates:
1 K 0.0000 0.0000 0.0000 (multiplicity 2)  2 K 2.84, 1 Cu 2.98, 1 Pt 3.10
2 Cu 0.0000 0.0000 0.2638 (multiplicity 2)  4 Pt 2.55, 2 Cu 2.84
3 Pt 0.0000 0.0000 0.7256 (multiplicity 2)  4 Cu 2.55, 2 Pt 2.84

Output
Density of states at the Fermi level   0.525 states/eV/atom
Calculated density   7.4 g cm⁻³

Run B
## KCuPt (PBE)

Data for a relaxed KCuPt crystal.

abc: 6.5003 6.5003 6.5003
angles: 90.00 90.00 90.00
Last column: nearest neighbours and their distance in Å.
Space group F-43m (No. 216)
Inequivalent atoms, fractional coordinates:
1 K 0.0000 0.0000 0.0000 (multiplicity 4)  4 Cu 2.81
2 Cu 0.2500 0.2500 0.2500 (multiplicity 4)  4 K 2.81, 4 Pt 2.81
3 Pt 0.0000 0.0000 0.5000 (multiplicity 4)  4 Cu 2.81

Output
Density of states at the Fermi level   0.268 states/eV/atom
Calculated density   7.2 g cm⁻³

Run C
## KCuPt (PBE)

Data for a relaxed KCuPt crystal.

abc: 6.7357 6.7357 6.7357
angles: 90.00 90.00 90.00
Last column: nearest neighbours and their distance in Å.
Space group F-43m (No. 216)
Inequivalent atoms, fractional coordinates:
1 K 0.0000 0.0000 0.0000 (multiplicity 4)  4 Cu 2.92, 4 Pt 2.92
2 Cu 0.2500 0.2500 0.2500 (multiplicity 4)  4 K 2.92
3 Pt 0.2500 0.2500 0.7500 (multiplicity 4)  4 K 2.92

Output
Density of states at the Fermi level   0.483 states/eV/atom
Calculated density   6.5 g cm⁻³

Run D
## KCuPt (PBE)

Data for a relaxed KCuPt crystal.

abc: 8.3901 2.8359 13.0202
angles: 90.00 107.67 90.00
Last column: nearest neighbours and their distance in Å.
Space group C2/m (No. 12)
Inequivalent atoms, fractional coordinates:
1 K 0.0459 0.0000 0.3194 (multiplicity 4)  2 K 2.84, 1 Pt 3.08
2 Cu 0.1127 0.5000 0.9398 (multiplicity 4)  4 Pt 2.53-2.60, 5 Cu 2.75-2.84
3 Pt 0.2015 0.5000 0.1467 (multiplicity 4)  4 Cu 2.53-2.60, 2 Pt 2.84

Output
Density of states at the Fermi level   0.504 states/eV/atom
Calculated density   6.7 g cm⁻³

Computed relative energies in units of meV/atom: run A 0; run B 536; run C 1182; run D 173

Run A
## KCuPt (PBE)

Data for a relaxed KCuPt crystal.

abc: 2.9150 2.9150 7.6426
angles: 90.00 90.00 120.00
Last column: nearest neighbours and their distance in Å.
Space group P3m1 (No. 156)
Inequivalent atoms, fractional coordinates:
1 K 0.0000 0.0000 0.0000 (multiplicity 1)  6 K 2.91, 3 Pt 3.18
2 Cu 0.3333 0.6667 0.6250 (multiplicity 1)  3 Pt 2.67, 6 Cu 2.91
3 Pt 0.6667 0.3333 0.3535 (multiplicity 1)  3 Cu 2.67, 6 Pt 2.91

Output
Density of states at the Fermi level   0.232 states/eV/atom
Calculated density   8.8 g cm⁻³

Run B
## KCuPt (PBE)

Data for a relaxed KCuPt crystal.

abc: 5.5354 5.5380 7.6082
angles: 90.00 90.00 90.00
Last column: nearest neighbours and their distance in Å.
Space group Imma (No. 74)
Inequivalent atoms, fractional coordinates:
1 K 0.0000 0.2500 0.1261 (multiplicity 4)  6 Pt 3.16-3.24, 6 Cu 3.18-3.24, 4 K 3.35-3.37
2 Cu 0.2500 0.2500 0.7500 (multiplicity 4)  4 Pt 2.73, 2 Cu 2.77
3 Pt 0.0000 0.0000 0.5000 (multiplicity 4)  4 Cu 2.73, 2 Pt 2.77

Output
Density of states at the Fermi level   0.216 states/eV/atom
Calculated density   8.5 g cm⁻³

Computed relative energies in units of meV/atom: run A 435; run B 0

Run A
## KCu3Pt (PBE)

Data for a relaxed KCu3Pt crystal.

abc: 4.8543 4.8543 4.8543
angles: 90.00 90.00 90.00
Last column: nearest neighbours and their distance in Å.
Space group Pm-3m (No. 221)
Inequivalent atoms, fractional coordinates:
1 K 0.0000 0.0000 0.0000 (multiplicity 1)  12 Cu 3.43
2 Cu 0.0000 0.5000 0.5000 (multiplicity 3)  2 Pt 2.43
3 Pt 0.5000 0.5000 0.5000 (multiplicity 1)  6 Cu 2.43

Output
Density of states at the Fermi level   0.407 states/eV/atom
Calculated density   6.2 g cm⁻³

Run B
## KCu3Pt (PBE)

Data for a relaxed KCu3Pt crystal.

abc: 4.6107 4.6107 4.6107
angles: 90.00 90.00 90.00
Last column: nearest neighbours and their distance in Å.
Space group Pm-3m (No. 221)
Inequivalent atoms, fractional coordinates:
1 K 0.0000 0.0000 0.0000 (multiplicity 1)  6 Cu 2.31
2 Cu 0.0000 0.0000 0.5000 (multiplicity 3)  2 K 2.31
3 Pt 0.5000 0.5000 0.5000 (multiplicity 1)  12 Cu 3.26

Output
Density of states at the Fermi level   0.287 states/eV/atom
Calculated density   7.2 g cm⁻³

Computed relative energies in units of meV/atom: run A 0; run B 1410

Run A
## KRb3Cu (PBE)

Data for a relaxed KRb3Cu crystal.

abc: 6.9807 6.9807 6.9807
angles: 90.00 90.00 90.00
Last column: nearest neighbours and their distance in Å.
Space group Pm-3m (No. 221)
Inequivalent atoms, fractional coordinates:
1 K 0.0000 0.0000 0.0000 (multiplicity 1)  12 Rb 4.94
2 Rb 0.0000 0.5000 0.5000 (multiplicity 3)  2 Cu 3.49
3 Cu 0.5000 0.5000 0.5000 (multiplicity 1)  6 Rb 3.49

Output
Density of states at the Fermi level   1.226 states/eV/atom
Calculated density   1.8 g cm⁻³

Run B
## KRb3Cu (PBE)

Data for a relaxed KRb3Cu crystal.

abc: 7.7897 7.7897 7.7897
angles: 90.00 90.00 90.00
Last column: nearest neighbours and their distance in Å.
Space group Pm-3m (No. 221)
Inequivalent atoms, fractional coordinates:
1 K 0.0000 0.0000 0.0000 (multiplicity 1)  6 Rb 3.89
2 Rb 0.0000 0.0000 0.5000 (multiplicity 3)  2 K 3.89
3 Cu 0.5000 0.5000 0.5000 (multiplicity 1)  12 Rb 5.51

Output
Density of states at the Fermi level   1.176 states/eV/atom
Calculated density   1.3 g cm⁻³

Computed relative energies in units of meV/atom: run A 0; run B 442